{"formula": "ScPb", "functional": "PBE-GGA", "state": "optimized geometry", "sg": "P6_3/mmc, No. 194", "ef_ev_per_atom": -0.253, "dos_ef_per_ev_cell": 1.49, "e_tot_ev_per_cell": -21.09, "lattice_angstrom": [[4.4989, 0.0000, 0.0000], [-2.2494, 3.8961, 0.0000], [0.0000, 0.0000, 6.3251]], "species": ["Sc", "Sc", "Pb", "Pb"], "fractional_positions": [[0.3333, 0.6667, 0.2500], [0.6667, 0.3333, 0.7500], [0.0000, 0.0000, 0.0000], [0.0000, 0.0000, 0.5000]]}


{"formula": "KAg2ICl8", "functional": "PBE-GGA", "state": "optimized geometry", "sg": "P-1, No. 2", "raw_formation_energy_mev_per_atom": -523, "dos_ef_per_ev_cell": 8.22, "e_tot_ev_per_cell": -29.40, "lattice_angstrom": [[6.7674, 0.0000, 0.0000], [-0.1153, 7.3941, 0.0000], [-0.0009, -0.0062, 7.9055]], "species": ["K", "Ag", "Ag", "I", "Cl", "Cl", "Cl", "Cl", "Cl", "Cl", "Cl", "Cl"], "fractional_positions": [[0.0000, 0.0000, 0.0000], [0.5000, 0.5001, 0.2521], [0.5000, 0.4999, 0.7479], [0.0000, 0.0000, 0.5000], [0.2345, 0.8669, 0.2872], [0.2354, 0.8682, 0.7127], [0.3094, 0.3711, 0.9999], [0.3094, 0.3728, 0.4999], [0.6906, 0.6272, 0.5001], [0.6906, 0.6289, 0.0001], [0.7646, 0.1318, 0.2873], [0.7655, 0.1331, 0.7128]]}


{"formula": "La3CoPb", "functional": "PBE-GGA", "state": "optimized geometry", "sg": "P2_1/m, No. 11", "relative_energy_mev_per_atom": 177, "ef_ev_per_atom": -0.217, "dos_ef_per_ev_cell": 10.90, "e_tot_ev_per_cell": -53.37, "lattice_angstrom": [[4.2971, 0.0000, 0.0000], [0.0000, 9.3219, 0.0000], [-0.7198, 0.0000, 7.6294]], "species": ["La", "La", "La", "La", "La", "La", "Co", "Co", "Pb", "Pb"], "fractional_positions": [[0.0394, 0.2500, 0.4538], [0.4572, 0.5141, 0.2197], [0.4572, 0.9859, 0.2197], [0.5428, 0.0141, 0.7803], [0.5428, 0.4859, 0.7803], [0.9606, 0.7500, 0.5462], [0.3853, 0.7500, 0.8089], [0.6147, 0.2500, 0.1911], [0.0665, 0.2500, 0.9745], [0.9335, 0.7500, 0.0255]]}


{"formula": "Ti3SnF", "functional": "PBE-GGA", "state": "optimized geometry", "sg": "Pm-3m, No. 221", "raw_formation_energy_mev_per_atom": -687, "relative_energy_mev_per_atom": 0, "dos_ef_per_ev_cell": 5.29, "e_tot_ev_per_cell": -32.99, "lattice_angstrom": [[4.2858, 0.0000, 0.0000], [0.0000, 4.2858, 0.0000], [0.0000, 0.0000, 4.2858]], "species": ["Ti", "Ti", "Ti", "Sn", "F"], "fractional_positions": [[0.0000, 0.0000, 0.5000], [0.0000, 0.5000, 0.0000], [0.5000, 0.0000, 0.0000], [0.5000, 0.5000, 0.5000], [0.0000, 0.0000, 0.0000]]}


{"formula": "Pm4Nd2Tm3", "functional": "PBE-GGA", "state": "optimized geometry", "sg": "C2/m, No. 12", "relative_energy_mev_per_atom": 0, "ef_ev_per_atom": 0.018, "dos_ef_per_ev_cell": 11.87, "e_tot_ev_per_cell": -41.79, "lattice_angstrom": [[5.6980, -2.5497, 0.0000], [5.6980, 2.5497, 0.0000], [-3.3863, 0.0000, 10.2496]], "species": ["Pm", "Pm", "Pm", "Pm", "Nd", "Nd", "Tm", "Tm", "Tm"], "fractional_positions": [[0.0015, 0.0015, 0.3347], [0.3336, 0.3336, 0.1119], [0.6664, 0.6664, 0.8881], [0.9985, 0.9985, 0.6653], [0.3325, 0.3325, 0.7757], [0.6675, 0.6675, 0.2243], [0.0000, 0.0000, 0.0000], [0.3346, 0.3346, 0.4463], [0.6654, 0.6654, 0.5537]]}


{"formula": "Pm2Nd3In", "functional": "PBE-GGA", "state": "optimized geometry", "sg": "P2_1/m, No. 11", "relative_energy_mev_per_atom": 22, "ef_ev_per_atom": -0.132, "dos_ef_per_ev_cell": 14.86, "e_tot_ev_per_cell": -54.67, "lattice_angstrom": [[9.0097, 0.0000, 0.0000], [0.0000, 3.7614, 0.0000], [-0.0196, 0.0000, 11.6338]], "species": ["Pm", "Pm", "Pm", "Pm", "Nd", "Nd", "Nd", "Nd", "Nd", "Nd", "In", "In"], "fractional_positions": [[0.0918, 0.2500, 0.3951], [0.3546, 0.7500, 0.9274], [0.6454, 0.2500, 0.0726], [0.9082, 0.7500, 0.6049], [0.0945, 0.2500, 0.1036], [0.3517, 0.7500, 0.5724], [0.3946, 0.7500, 0.2501], [0.6054, 0.2500, 0.7499], [0.6483, 0.2500, 0.4276], [0.9055, 0.7500, 0.8964], [0.1553, 0.2500, 0.7517], [0.8447, 0.7500, 0.2483]]}


{"formula": "CuIr2RhN", "functional": "PBE-GGA", "state": "optimized geometry", "sg": "P4/mmm, No. 123", "raw_formation_energy_mev_per_atom": 2678, "dos_ef_per_ev_cell": 5.84, "e_tot_ev_per_cell": -24.11, "lattice_angstrom": [[4.6796, 0.0000, 0.0000], [0.0000, 4.6796, 0.0000], [0.0000, 0.0000, 4.7586]], "species": ["Cu", "Ir", "Ir", "Rh", "N"], "fractional_positions": [[0.0000, 0.0000, 0.0000], [0.0000, 0.5000, 0.5000], [0.5000, 0.0000, 0.5000], [0.0000, 0.0000, 0.5000], [0.5000, 0.5000, 0.0000]]}


{"formula": "Y4Er8Zr", "functional": "PBE-GGA", "state": "optimized geometry", "sg": "R-3m, No. 166", "ef_ev_per_atom": 0.559, "dos_ef_per_ev_cell": 22.74, "e_tot_ev_per_cell": -63.65, "lattice_angstrom": [[5.4155, 3.1266, 4.3929], [-5.4155, 3.1266, 4.3929], [0.0000, -6.2532, 4.3929]], "species": ["Y", "Y", "Y", "Y", "Er", "Er", "Er", "Er", "Er", "Er", "Er", "Er", "Zr"], "fractional_positions": [[0.0000, 0.0000, 0.0000], [0.0000, 0.5000, 0.5000], [0.5000, 0.0000, 0.5000], [0.5000, 0.5000, 0.0000], [0.2449, 0.2449, 0.7524], [0.2449, 0.7524, 0.2449], [0.2455, 0.2455, 0.2455], [0.2476, 0.7551, 0.7551], [0.7524, 0.2449, 0.2449], [0.7545, 0.7545, 0.7545], [0.7551, 0.2476, 0.7551], [0.7551, 0.7551, 0.2476], [0.5000, 0.5000, 0.5000]]}


{"formula": "NaAsS2", "functional": "PBE-GGA", "state": "optimized geometry", "sg": "R-3m, No. 166", "raw_formation_energy_mev_per_atom": -289, "dos_ef_per_ev_cell": 0.00, "e_tot_ev_per_cell": -15.38, "lattice_angstrom": [[1.9034, 1.0989, 7.9334], [-1.9034, 1.0989, 7.9334], [0.0000, -2.1978, 7.9334]], "species": ["Na", "As", "S", "S"], "fractional_positions": [[0.0000, 0.0000, 0.0000], [0.5000, 0.5000, 0.5000], [0.1081, 0.1081, 0.1081], [0.8919, 0.8919, 0.8919]]}


{"formula": "MgZr2Au", "functional": "PBE-GGA", "state": "optimized geometry", "sg": "P4/mmm, No. 123", "ef_ev_per_atom": -0.268, "dos_ef_per_ev_cell": 4.09, "e_tot_ev_per_cell": -23.04, "lattice_angstrom": [[4.2428, 0.0000, 0.0000], [0.0000, 4.2428, 0.0000], [0.0000, 0.0000, 4.5125]], "species": ["Mg", "Zr", "Zr", "Au"], "fractional_positions": [[0.0000, 0.0000, 0.0000], [0.0000, 0.5000, 0.5000], [0.5000, 0.0000, 0.5000], [0.5000, 0.5000, 0.0000]]}


{"formula": "RbYB2", "functional": "PBE-GGA", "state": "optimized geometry", "sg": "I-42d, No. 122", "relative_energy_mev_per_atom": 61, "ef_ev_per_atom": 1.476, "dos_ef_per_ev_cell": 2.75, "e_tot_ev_per_cell": -29.77, "lattice_angstrom": [[-3.7885, 3.7885, 3.7014], [3.7885, -3.7885, 3.7014], [3.7885, 3.7885, -3.7014]], "species": ["Rb", "Rb", "Y", "Y", "B", "B", "B", "B"], "fractional_positions": [[0.0000, 0.0000, 0.0000], [0.7500, 0.2500, 0.5000], [0.2500, 0.7500, 0.5000], [0.5000, 0.5000, 0.0000], [0.1969, 0.6250, 0.0719], [0.3750, 0.4469, 0.5719], [0.5531, 0.1250, 0.9281], [0.8750, 0.8031, 0.4281]]}


{"formula": "TaInW2", "functional": "PBE-GGA", "state": "optimized geometry", "sg": "F-43m, No. 216", "ef_ev_per_atom": 0.449, "dos_ef_per_ev_cell": 3.93, "e_tot_ev_per_cell": -38.70, "lattice_angstrom": [[0.0000, 3.2818, 3.2818], [3.2818, 0.0000, 3.2818], [3.2818, 3.2818, 0.0000]], "species": ["Ta", "In", "W", "W"], "fractional_positions": [[0.0000, 0.0000, 0.0000], [0.7500, 0.7500, 0.7500], [0.2500, 0.2500, 0.2500], [0.5000, 0.5000, 0.5000]]}


{"formula": "Ti3Be2Re", "functional": "PBE-GGA", "state": "optimized geometry", "sg": "P4/mmm, No. 123", "ef_ev_per_atom": -0.243, "dos_ef_per_ev_cell": 3.59, "e_tot_ev_per_cell": -45.04, "lattice_angstrom": [[3.0923, 0.0000, 0.0000], [0.0000, 3.0923, 0.0000], [0.0000, 0.0000, 8.6245]], "species": ["Ti", "Ti", "Ti", "Be", "Be", "Re"], "fractional_positions": [[0.0000, 0.0000, 0.0000], [0.0000, 0.0000, 0.3257], [0.0000, 0.0000, 0.6743], [0.5000, 0.5000, 0.1640], [0.5000, 0.5000, 0.8360], [0.5000, 0.5000, 0.5000]]}


{"formula": "Tb4PmSm6", "functional": "PBE-GGA", "state": "optimized geometry", "sg": "I-42m, No. 121", "relative_energy_mev_per_atom": 82, "ef_ev_per_atom": 0.383, "dos_ef_per_ev_cell": 13.88, "e_tot_ev_per_cell": -47.37, "lattice_angstrom": [[-3.7986, 3.7986, 6.7256], [3.7986, -3.7986, 6.7256], [3.7986, 3.7986, -6.7256]], "species": ["Tb", "Tb", "Tb", "Tb", "Pm", "Sm", "Sm", "Sm", "Sm", "Sm", "Sm"], "fractional_positions": [[0.2549, 0.2549, 0.6682], [0.4133, 0.7451, 0.0000], [0.5867, 0.5867, 0.3318], [0.7451, 0.4133, 0.0000], [0.0000, 0.0000, 0.0000], [0.0000, 0.5000, 0.5000], [0.0446, 0.5807, 0.0000], [0.4193, 0.4193, 0.4639], [0.5000, 0.0000, 0.5000], [0.5807, 0.0446, 0.0000], [0.9554, 0.9554, 0.5361]]}


{"formula": "CoSbRu", "functional": "PBE-GGA", "state": "optimized geometry", "sg": "P3m1, No. 156", "raw_formation_energy_mev_per_atom": 255, "relative_energy_mev_per_atom": 139, "dos_ef_per_ev_cell": 3.49, "e_tot_ev_per_cell": -19.74, "lattice_angstrom": [[4.2289, 0.0000, 0.0000], [-2.1144, 3.6623, 0.0000], [0.0000, 0.0000, 2.9755]], "species": ["Co", "Sb", "Ru"], "fractional_positions": [[0.0000, 0.0000, 0.0000], [0.6667, 0.3333, 0.8689], [0.3333, 0.6667, 0.4645]]}


{"formula": "ThNbSe4", "functional": "PBE-GGA", "state": "optimized geometry", "sg": "P2_1/c, No. 14", "raw_formation_energy_mev_per_atom": -1027, "dos_ef_per_ev_cell": 7.53, "e_tot_ev_per_cell": -75.18, "lattice_angstrom": [[8.0392, 0.0000, 0.0000], [0.0000, 6.1639, 0.0000], [-3.6590, 0.0000, 6.7765]], "species": ["Th", "Th", "Nb", "Nb", "Se", "Se", "Se", "Se", "Se", "Se", "Se", "Se"], "fractional_positions": [[0.0000, 0.0000, 0.0000], [0.0000, 0.5000, 0.5000], [0.5000, 0.0000, 0.0000], [0.5000, 0.5000, 0.5000], [0.2083, 0.2483, 0.3560], [0.2083, 0.2517, 0.8560], [0.3513, 0.7485, 0.1660], [0.3513, 0.7515, 0.6660], [0.6487, 0.2485, 0.3340], [0.6487, 0.2515, 0.8340], [0.7917, 0.7483, 0.1440], [0.7917, 0.7517, 0.6440]]}


{"formula": "Li2Pm3Pb2", "functional": "PBE-GGA", "state": "optimized geometry", "sg": "C2/m, No. 12", "ef_ev_per_atom": -0.348, "dos_ef_per_ev_cell": 4.54, "e_tot_ev_per_cell": -27.93, "lattice_angstrom": [[4.2277, -2.4425, 0.0000], [4.2277, 2.4425, 0.0000], [-2.8227, 0.0000, 9.2605]], "species": ["Li", "Li", "Pm", "Pm", "Pm", "Pb", "Pb"], "fractional_positions": [[0.0963, 0.0963, 0.2900], [0.9037, 0.9037, 0.7100], [0.3700, 0.3700, 0.1119], [0.5000, 0.5000, 0.5000], [0.6300, 0.6300, 0.8881], [0.2357, 0.2357, 0.7064], [0.7643, 0.7643, 0.2936]]}


{"formula": "Rb2TaRu3O12", "functional": "PBE-GGA", "state": "optimized geometry", "sg": "R-3m, No. 166", "raw_formation_energy_mev_per_atom": -1392, "dos_ef_per_ev_cell": 13.77, "e_tot_ev_per_cell": -126.18, "lattice_angstrom": [[3.6081, 2.0832, 6.0514], [-3.6081, 2.0832, 6.0514], [0.0000, -4.1663, 6.0514]], "species": ["Rb", "Rb", "Ta", "Ru", "Ru", "Ru", "O", "O", "O", "O", "O", "O", "O", "O", "O", "O", "O", "O"], "fractional_positions": [[0.1253, 0.1253, 0.1253], [0.8747, 0.8747, 0.8747], [0.5000, 0.5000, 0.5000], [0.0000, 0.5000, 0.5000], [0.5000, 0.0000, 0.5000], [0.5000, 0.5000, 0.0000], [0.1748, 0.5705, 0.5705], [0.1919, 0.1919, 0.5714], [0.1919, 0.5714, 0.1919], [0.4286, 0.8081, 0.8081], [0.4295, 0.4295, 0.8252], [0.4295, 0.8252, 0.4295], [0.5705, 0.1748, 0.5705], [0.5705, 0.5705, 0.1748], [0.5714, 0.1919, 0.1919], [0.8081, 0.4286, 0.8081], [0.8081, 0.8081, 0.4286], [0.8252, 0.4295, 0.4295]]}


{"formula": "Sm2Ho15Er2", "functional": "PBE-GGA", "state": "optimized geometry", "sg": "R-3m, No. 166", "ef_ev_per_atom": 0.283, "dos_ef_per_ev_cell": 35.79, "e_tot_ev_per_cell": -81.86, "lattice_angstrom": [[5.5645, 3.2126, 5.8370], [-5.5645, 3.2126, 5.8370], [0.0000, -6.4253, 5.8370]], "species": ["Sm", "Sm", "Ho", "Ho", "Ho", "Ho", "Ho", "Ho", "Ho", "Ho", "Ho", "Ho", "Ho", "Ho", "Ho", "Ho", "Ho", "Er", "Er"], "fractional_positions": [[0.1752, 0.1752, 0.1752], [0.8248, 0.8248, 0.8248], [0.0000, 0.5000, 0.5000], [0.1315, 0.1315, 0.6481], [0.1315, 0.6481, 0.1315], [0.2021, 0.5000, 0.7979], [0.2021, 0.7979, 0.5000], [0.3519, 0.8685, 0.8685], [0.5000, 0.0000, 0.5000], [0.5000, 0.2021, 0.7979], [0.5000, 0.5000, 0.0000], [0.5000, 0.7979, 0.2021], [0.6481, 0.1315, 0.1315], [0.7979, 0.2021, 0.5000], [0.7979, 0.5000, 0.2021], [0.8685, 0.3519, 0.8685], [0.8685, 0.8685, 0.3519], [0.4036, 0.4036, 0.4036], [0.5964, 0.5964, 0.5964]]}


{"formula": "La3CuO6", "functional": "PBE-GGA", "state": "optimized geometry", "sg": "Cmc2_1, No. 36", "raw_formation_energy_mev_per_atom": -2663, "dos_ef_per_ev_cell": 3.78, "e_tot_ev_per_cell": -150.51, "lattice_angstrom": [[4.7070, -5.9147, 0.0000], [4.7070, 5.9147, 0.0000], [0.0000, 0.0000, 5.7487]], "species": ["La", "La", "La", "La", "La", "La", "Cu", "Cu", "O", "O", "O", "O", "O", "O", "O", "O", "O", "O", "O", "O"], "fractional_positions": [[0.1052, 0.8948, 0.5000], [0.1969, 0.4132, 0.5368], [0.4132, 0.1969, 0.0368], [0.5868, 0.8031, 0.5368], [0.8031, 0.5868, 0.0368], [0.8948, 0.1052, 0.0000], [0.3113, 0.6887, 0.0672], [0.6887, 0.3113, 0.5672], [0.0897, 0.6075, 0.2446], [0.1475, 0.1702, 0.2727], [0.1702, 0.1475, 0.7727], [0.2870, 0.7130, 0.7407], [0.3925, 0.9103, 0.2446], [0.4523, 0.5477, 0.2411], [0.5477, 0.4523, 0.7411], [0.6075, 0.0897, 0.7446], [0.7130, 0.2870, 0.2407], [0.8298, 0.8525, 0.2727], [0.8525, 0.8298, 0.7727], [0.9103, 0.3925, 0.7446]]}